A plane-wave DFT calculation with GGA-PBE was carried out for an optimized crystal structure of MnTeW2.

Space group = No. 119
Crystal system = tetragonal
DOS at the Fermi energy = 4.31 states/eV/f.u.
Uncorrected formation energy = 683 meV/atom

Lattice parameters (Å, degrees): 4.935 4.935 4.935 131.40 131.40 71.19
Element x y z (fractional)
Mn1 0.000 0.000 0.000
Te1 0.250 0.750 0.500
W1 0.500 0.500 0.000
W2 0.750 0.250 0.500